[1]
Here is an optimized crystal structure of Sc2InPt from the Alexandria database. Energies are from PBE.

Output
Energy of formation   -80.7 kJ/mol of atoms

a b c (Å): 3.3022 3.3022 7.4530
angles (deg): 90.00 90.00 90.00
Space group P4/mmm (No. 123)
Asymmetric unit:
Sc  0.0000  0.0000  0.2195 [2 per cell]
In  0.5000  0.5000  0.5000 [1 per cell]
Pt  0.5000  0.5000  0.0000 [1 per cell]


[2]
Here is an optimized crystal structure of Pm8CoIr3I4 from the Alexandria database. Energies are from PBE.

Output
Formation energy (no corrections)   -0.87 eV/atom

a b c (Å): 8.3214 8.3214 24.1739
angles (deg): 90.00 90.00 120.00
Space group R-3m (No. 166, hexagonal axes)
Asymmetric unit:
Pm  0.0000  0.0000  0.2281 [6 per cell]
Pm  0.0080  0.5040  0.2272 [18 per cell]
Co  0.0000  0.0000  0.5000 [3 per cell]
Ir  0.0000  0.5000  0.5000 [9 per cell]
I  0.0000  0.0000  0.0000 [3 per cell]
I  0.0000  0.5000  0.0000 [9 per cell]


[3]
Here is an optimized crystal structure of HgBiTe2I from the Alexandria database. Energies are from PBE.

Output
Formation energy (no corrections)   0.48 eV/atom
Relative energy among the computed polymorphs   174 meV per atom

a b c (Å): 5.6453 5.6453 5.7159
angles (deg): 90.00 90.00 90.00
Space group P4/mmm (No. 123)
Asymmetric unit:
Hg  0.0000  0.0000  0.0000 [1 per cell]
Bi  0.5000  0.5000  0.5000 [1 per cell]
Te  0.0000  0.5000  0.0000 [2 per cell]
I  0.0000  0.0000  0.5000 [1 per cell]


[4]
Here is an optimized crystal structure of La4NdCd3 from the Alexandria database. Energies are from PBE.

Output
Energy of formation   -18.5 kJ/mol of atoms

a b c (Å): 5.6019 5.6019 27.9486
angles (deg): 90.00 90.00 120.00
Space group R-3m (No. 166, hexagonal axes)
Asymmetric unit:
La  0.0000  0.0000  0.1191 [6 per cell]
La  0.0000  0.0000  0.3712 [6 per cell]
Nd  0.0000  0.0000  0.5000 [3 per cell]
Cd  0.0000  0.0000  0.0000 [3 per cell]
Cd  0.0000  0.0000  0.2439 [6 per cell]


[5]
Here is an optimized crystal structure of SrCeTe2O8 from the Alexandria database. Energies are from PBE.

Output
Formation energy (no corrections)   -1.74 eV/atom

a b c (Å): 6.2086 6.2086 7.2043
angles (deg): 90.00 90.00 120.00
Space group P-3m1 (No. 164)
Asymmetric unit:
Sr  0.0000  0.0000  0.0000 [1 per cell]
Ce  0.0000  0.0000  0.5000 [1 per cell]
Te  0.3333  0.6667  0.7744 [2 per cell]
O  0.1555  0.3110  0.7123 [6 per cell]
O  0.3333  0.6667  0.0285 [2 per cell]


[6]
Here is an optimized crystal structure of Ga2H6Cl from the Alexandria database. Energies are from PBE.

Output
Relative energy among the computed polymorphs   0 meV per atom

a b c (Å): 3.3549 5.9986 6.7135
angles (deg): 95.47 99.66 90.49
Space group P1 (No. 1)
Asymmetric unit:
Ga  0.0000  0.0000  0.0000 [1 per cell]
Ga  0.1051  0.7682  0.3145 [1 per cell]
H  0.3250  0.5396  0.8049 [1 per cell]
H  0.4030  0.5867  0.7182 [1 per cell]
H  0.4649  0.0148  0.8969 [1 per cell]
H  0.6398  0.7506  0.4167 [1 per cell]
H  0.6962  0.1805  0.5866 [1 per cell]
H  0.7736  0.2275  0.4997 [1 per cell]
Cl  0.0481  0.3868  0.1500 [1 per cell]


[7]
Here is an optimized crystal structure of CdTe2 from the Alexandria database. Energies are from PBE.

Output
Formation energy (no corrections)   0.11 eV/atom

a b c (Å): 7.2564 7.2564 7.2564
angles (deg): 90.00 90.00 90.00
Space group Fm-3m (No. 225)
Asymmetric unit:
Cd  0.0000  0.0000  0.0000 [4 per cell]
Te  0.2500  0.2500  0.2500 [8 per cell]


[8]
Here is an optimized crystal structure of CsNiSCl2 from the Alexandria database. Energies are from PBE.

Output
Formation energy (no corrections)   -0.72 eV/atom

a b c (Å): 5.2923 5.2923 4.3852
angles (deg): 90.00 90.00 90.00
Space group P4/mmm (No. 123)
Asymmetric unit:
Cs  0.0000  0.0000  0.0000 [1 per cell]
Ni  0.5000  0.5000  0.5000 [1 per cell]
S  0.5000  0.5000  0.0000 [1 per cell]
Cl  0.0000  0.5000  0.5000 [2 per cell]


[9]
Here is an optimized crystal structure of Tb2MgPt from the Alexandria database. Energies are from PBE.

Output
Energy of formation   -63.8 kJ/mol of atoms
Relative energy among the computed polymorphs   0 meV per atom

a b c (Å): 3.6436 3.6436 7.3277
angles (deg): 90.00 90.00 90.00
Space group P4/mmm (No. 123)
Asymmetric unit:
Tb  0.0000  0.0000  0.2208 [2 per cell]
Mg  0.5000  0.5000  0.5000 [1 per cell]
Pt  0.5000  0.5000  0.0000 [1 per cell]


[10]
Here is an optimized crystal structure of FeIr4Pt from the Alexandria database. Energies are from PBE.

Output
Energy of formation   51.7 kJ/mol of atoms

a b c (Å): 7.2644 7.2644 7.2644
angles (deg): 90.00 90.00 90.00
Space group F-43m (No. 216)
Asymmetric unit:
Fe  0.0000  0.0000  0.0000 [4 per cell]
Ir  0.1251  0.1251  0.3749 [16 per cell]
Pt  0.2500  0.2500  0.7500 [4 per cell]


[11]
Here is an optimized crystal structure of Sb2IrSe from the Alexandria database. Energies are from PBE.

Output
Formation energy (no corrections)   0.24 eV/atom

a b c (Å): 3.1491 3.1491 9.0205
angles (deg): 90.00 90.00 90.00
Space group P4mm (No. 99)
Asymmetric unit:
Sb  0.0000  0.0000  0.0000 [1 per cell]
Sb  0.5000  0.5000  0.3159 [1 per cell]
Ir  0.5000  0.5000  0.8007 [1 per cell]
Se  0.0000  0.0000  0.6297 [1 per cell]


[12]
Here is an optimized crystal structure of KSbCl3 from the Alexandria database. Energies are from PBE.

Output
Formation energy (no corrections)   -1.06 eV/atom
Relative energy among the computed polymorphs   139 meV per atom

a b c (Å): 5.5283 5.5283 5.5283
angles (deg): 90.00 90.00 90.00
Space group Pm-3m (No. 221)
Asymmetric unit:
K  0.0000  0.0000  0.0000 [1 per cell]
Sb  0.5000  0.5000  0.5000 [1 per cell]
Cl  0.0000  0.5000  0.5000 [3 per cell]


[13]
Here is an optimized crystal structure of Ce4InHg from the Alexandria database. Energies are from PBE.

Output
Energy of formation   -18.3 kJ/mol of atoms
Relative energy among the computed polymorphs   0 meV per atom

a b c (Å): 5.1552 6.1135 9.4041
angles (deg): 90.00 90.00 90.00
Space group Immm (No. 71)
Asymmetric unit:
Ce  0.0000  0.2447  0.1761 [8 per cell]
In  0.0000  0.0000  0.5000 [2 per cell]
Hg  0.0000  0.5000  0.5000 [2 per cell]


[14]
Here is an optimized crystal structure of SrCaBeGe2 from the Alexandria database. Energies are from PBE.

Output
Energy of formation   89.0 kJ/mol of atoms

a b c (Å): 5.5319 5.5319 5.3146
angles (deg): 90.00 90.00 90.00
Space group P4/mmm (No. 123)
Asymmetric unit:
Sr  0.0000  0.0000  0.0000 [1 per cell]
Ca  0.5000  0.5000  0.5000 [1 per cell]
Be  0.0000  0.0000  0.5000 [1 per cell]
Ge  0.0000  0.5000  0.0000 [2 per cell]


[15]
Here is an optimized crystal structure of UPaCo2 from the Alexandria database. Energies are from PBE.

Output
Energy of formation   -9.9 kJ/mol of atoms

a b c (Å): 3.6381 3.6381 19.5360
angles (deg): 90.00 90.00 120.00
Space group R-3m (No. 166, hexagonal axes)
Asymmetric unit:
U  0.0000  0.0000  0.0000 [3 per cell]
Pa  0.0000  0.0000  0.5000 [3 per cell]
Co  0.0000  0.0000  0.2526 [6 per cell]


[16]
Here is an optimized crystal structure of HfPtSe2 from the Alexandria database. Energies are from PBE.

Output
Formation energy (no corrections)   -0.57 eV/atom
Relative energy among the computed polymorphs   0 meV per atom

a b c (Å): 3.6079 3.6079 24.3711
angles (deg): 90.00 90.00 120.00
Space group R-3m (No. 166, hexagonal axes)
Asymmetric unit:
Hf  0.0000  0.0000  0.0000 [3 per cell]
Pt  0.0000  0.0000  0.5000 [3 per cell]
Se  0.0000  0.0000  0.4013 [6 per cell]


[17]
Here is an optimized crystal structure of Cd12Bi3P5 from the Alexandria database. Energies are from PBE.

Output
Energy of formation   4.3 kJ/mol of atoms

a b c (Å): 16.3917 16.3917 16.3917
angles (deg): 90.00 90.00 90.00
Space group Ia-3d (No. 230)
Asymmetric unit:
Cd  0.0270  0.0627  0.6489 [96 per cell]
Bi  0.0000  0.2500  0.1250 [24 per cell]
P  0.0000  0.0000  0.0000 [16 per cell]
P  0.0000  0.2500  0.3750 [24 per cell]


[18]
Here is an optimized crystal structure of Hg3Pb7 from the Alexandria database. Energies are from PBE.

Output
Energy of formation   1.1 kJ/mol of atoms
Relative energy among the computed polymorphs   0 meV per atom

a b c (Å): 17.5472 4.9613 6.9260
angles (deg): 90.00 101.23 90.00
Space group C2/m (No. 12)
Asymmetric unit:
Hg  0.0000  0.0000  0.0000 [2 per cell]
Hg  0.1968  0.0000  0.6099 [4 per cell]
Pb  0.0000  0.0000  0.5000 [2 per cell]
Pb  0.0975  0.5000  0.8145 [4 per cell]
Pb  0.1076  0.5000  0.3172 [4 per cell]
Pb  0.2019  0.0000  0.1153 [4 per cell]


[19]
Here is an optimized crystal structure of ScBe2Fe from the Alexandria database. Energies are from PBE.

Output
Energy of formation   5.7 kJ/mol of atoms
Relative energy among the computed polymorphs   142 meV per atom

a b c (Å): 2.7323 2.7323 6.5631
angles (deg): 90.00 90.00 90.00
Space group P4mm (No. 99)
Asymmetric unit:
Sc  0.0000  0.0000  0.0000 [1 per cell]
Be  0.0000  0.0000  0.4811 [1 per cell]
Be  0.5000  0.5000  0.3122 [1 per cell]
Fe  0.5000  0.5000  0.6910 [1 per cell]


[20]
Here is an optimized crystal structure of NdMgZn from the Alexandria database. Energies are from PBE.

Output
Energy of formation   -9.9 kJ/mol of atoms

a b c (Å): 6.8458 6.8458 6.8458
angles (deg): 90.00 90.00 90.00
Space group F-43m (No. 216)
Asymmetric unit:
Nd  0.0000  0.0000  0.0000 [4 per cell]
Mg  0.0000  0.0000  0.5000 [4 per cell]
Zn  0.2500  0.2500  0.7500 [4 per cell]


[21]
Here is an optimized crystal structure of TbHo2Au from the Alexandria database. Energies are from PBE.

Output
Energy of formation   -38.7 kJ/mol of atoms
Relative energy among the computed polymorphs   47 meV per atom

a b c (Å): 3.6028 3.6028 8.4869
angles (deg): 90.00 90.00 90.00
Space group P4/mmm (No. 123)
Asymmetric unit:
Tb  0.0000  0.0000  0.0000 [1 per cell]
Ho  0.5000  0.5000  0.2940 [2 per cell]
Au  0.0000  0.0000  0.5000 [1 per cell]


[22]
Here is an optimized crystal structure of Mg5Zn2Au from the Alexandria database. Energies are from PBE.

Output
Energy of formation   -21.4 kJ/mol of atoms

a b c (Å): 7.0957 7.0957 12.3736
angles (deg): 90.00 90.00 90.00
Space group I4/mcm (No. 140)
Asymmetric unit:
Mg  0.0000  0.0000  0.0000 [4 per cell]
Mg  0.1674  0.3326  0.1515 [16 per cell]
Zn  0.1268  0.3732  0.5000 [8 per cell]
Au  0.0000  0.0000  0.2500 [4 per cell]


[23]
Here is an optimized crystal structure of NaNbAlTe2 from the Alexandria database. Energies are from PBE.

Output
Formation energy (no corrections)   -0.04 eV/atom

a b c (Å): 5.4919 5.4919 5.1376
angles (deg): 90.00 90.00 90.00
Space group P4/mmm (No. 123)
Asymmetric unit:
Na  0.0000  0.0000  0.0000 [1 per cell]
Nb  0.5000  0.5000  0.5000 [1 per cell]
Al  0.5000  0.5000  0.0000 [1 per cell]
Te  0.0000  0.5000  0.5000 [2 per cell]


| no. | VASP energy (eV per cell) |
| --- | --- |
| 1 | -24.79 |
| 2 | -275.43 |
| 3 | -9.64 |
| 4 | -86.27 |
| 5 | -74.41 |
| 6 | -28.46 |
| 7 | -27.51 |
| 8 | -18.06 |
| 9 | -19.54 |
| 10 | -186.93 |
| 11 | -19.62 |
| 12 | -16.05 |
| 13 | -55.82 |
| 14 | -12.03 |
| 15 | -106.21 |
| 16 | -75.73 |
| 17 | -390.32 |
| 18 | -53.49 |
| 19 | -22.01 |
| 20 | -31.78 |
| 21 | -18.67 |
| 22 | -62.30 |
| 23 | -21.62 |